FeAsF2 | PBE+U | relaxed

M_tot   4.0 μB per formula unit
E above lowest polymorph   0 meV/atom
Fermi-level density of states   7.339 states/eV per cell
Total DFT energy (no corrections)   -4.7488 eV per atom

abc: 2.9618 2.9618 28.0790
angles: 90.00 90.00 120.00
Space group R-3m (No. 166, hexagonal axes)
Symmetry-distinct sites (fractional):
Fe: 0.0000 0.0000 0.0000 [3 per cell]
As: 0.0000 0.0000 0.5000 [3 per cell]
F: 0.0000 0.0000 0.3748 [6 per cell]